No. 1
Material: Ni2MoPdN
Method: DFT, PBE
State: relaxed

VASP energy in eV per cell: -36.09
ΔE_f (raw) in eV per atom: -0.04
DOS at the Fermi energy in states/eV/cell: 5.55

Cell: 3.8639 3.8639 4.0238 Å, 90.00 90.00 90.00°
Closest atoms and distances in Å follow each position.
Atoms (fractional coordinates):
Pd  0.5000  0.5000  0.5000  4 Mo 2.73, 8 Ni 2.79
Ni  0.0000  0.5000  0.0000  2 N 1.93
Ni  0.5000  0.0000  0.0000  2 N 1.93
Mo  0.0000  0.0000  0.5000  2 N 2.01
N  0.0000  0.0000  0.0000  4 Ni 1.93, 2 Mo 2.01

***

No. 2
Material: Th3Mg5S12
Method: DFT, PBE
State: relaxed

VASP energy in eV per cell: -434.21
ΔE_f (raw) in eV per atom: -1.44
DOS at the Fermi energy in states/eV/cell: 95.90

Cell: 13.4227 13.4227 13.4227 Å, 109.47 109.47 109.47°
Closest atoms and distances in Å follow each position.
Atoms (fractional coordinates):
S  0.0417  0.4139  0.8238  2 Mg 2.41-2.59
S  0.1762  0.0901  0.7179  2 Mg 2.41-2.59
S  0.9583  0.3722  0.2821  2 Mg 2.41-2.59
S  0.7179  0.1278  0.0417  2 Mg 2.41-2.59
S  0.8722  0.2821  0.4583  2 Mg 2.41-2.59
S  0.5901  0.8722  0.4139  2 Mg 2.41-2.59
S  0.2821  0.8722  0.9583  2 Mg 2.41-2.59
S  0.5417  0.2179  0.1278  2 Mg 2.41-2.59
S  0.0417  0.6278  0.7179  2 Mg 2.41-2.59
S  0.6278  0.0417  0.2179  2 Mg 2.41-2.59
S  0.6762  0.2179  0.5901  2 Mg 2.41-2.59
S  0.4583  0.7821  0.8722  2 Mg 2.41-2.59
S  0.1278  0.4099  0.0861  2 Mg 2.41-2.59
S  0.7179  0.5901  0.1762  2 Mg 2.41-2.59
S  0.7821  0.3238  0.9099  2 Mg 2.41-2.59
S  0.4099  0.2821  0.3238  2 Mg 2.41-2.59
S  0.9583  0.5861  0.1762  2 Mg 2.41-2.59
S  0.2179  0.6762  0.0901  2 Mg 2.41-2.59
S  0.3238  0.7821  0.4099  2 Mg 2.41-2.59
S  0.6278  0.5861  0.9099  2 Mg 2.41-2.59
S  0.2179  0.5417  0.6278  2 Mg 2.41-2.59
S  0.4099  0.1278  0.5861  2 Mg 2.41-2.59
S  0.4583  0.6762  0.0861  2 Mg 2.41-2.59
S  0.0861  0.9099  0.1278  2 Mg 2.41-2.59
S  0.3722  0.9583  0.7821  2 Mg 2.41-2.59
S  0.1762  0.0861  0.9583  2 Mg 2.41-2.59
S  0.5901  0.7179  0.6762  2 Mg 2.41-2.59
S  0.8238  0.9139  0.0417  2 Mg 2.41-2.59
S  0.4139  0.0417  0.3238  2 Mg 2.41-2.59
S  0.4139  0.3722  0.5901  2 Mg 2.41-2.59
S  0.3238  0.5417  0.4139  2 Mg 2.41-2.59
S  0.0861  0.1762  0.4583  2 Mg 2.41-2.59
S  0.9139  0.0901  0.8722  2 Mg 2.41-2.59
S  0.2821  0.4099  0.8238  2 Mg 2.41-2.59
S  0.6762  0.4583  0.5861  2 Mg 2.41-2.59
S  0.5417  0.3238  0.9139  2 Mg 2.41-2.59
S  0.9099  0.8238  0.7821  2 Mg 2.41-2.59
S  0.5861  0.6278  0.4099  2 Mg 2.41-2.59
S  0.8722  0.5901  0.9139  2 Mg 2.41-2.59
S  0.0901  0.1762  0.2179  2 Mg 2.41-2.59
S  0.9139  0.8238  0.5417  2 Mg 2.41-2.59
S  0.8238  0.9099  0.2821  2 Mg 2.41-2.59
S  0.0901  0.9139  0.3722  2 Mg 2.41-2.59
S  0.5861  0.9583  0.6762  2 Mg 2.41-2.59
S  0.9099  0.0861  0.6278  2 Mg 2.41-2.59
S  0.7821  0.4583  0.3722  2 Mg 2.41-2.59
S  0.3722  0.4139  0.0901  2 Mg 2.41-2.59
S  0.1278  0.7179  0.5417  2 Mg 2.41-2.59
Mg  0.2500  0.8750  0.1250  4 S 2.41
Mg  0.3750  0.2500  0.1250  4 S 2.41
Mg  0.5000  0.0000  0.0000  6 S 2.59
Mg  0.0000  0.0000  0.5000  6 S 2.59
Mg  0.5000  0.5000  0.5000  6 S 2.59
Mg  0.3750  0.1250  0.7500  4 S 2.41
Mg  0.1250  0.3750  0.2500  4 S 2.41
Mg  0.6250  0.8750  0.2500  4 S 2.41
Mg  0.7500  0.6250  0.3750  4 S 2.41
Mg  0.6250  0.7500  0.8750  4 S 2.41
Mg  0.5000  0.0000  0.5000  6 S 2.59
Mg  0.0000  0.5000  0.5000  6 S 2.59
Mg  0.7500  0.1250  0.8750  4 S 2.41
Mg  0.2500  0.3750  0.6250  4 S 2.41
Mg  0.5000  0.5000  0.0000  6 S 2.59
Mg  0.8750  0.6250  0.7500  4 S 2.41
Mg  0.8750  0.2500  0.6250  4 S 2.41
Mg  0.1250  0.7500  0.3750  4 S 2.41
Mg  0.0000  0.0000  0.0000  6 S 2.59
Mg  0.0000  0.5000  0.0000  6 S 2.59
Th  0.6250  0.3750  0.7500  8 S 2.91-2.95
Th  0.7500  0.3750  0.1250  8 S 2.91-2.95
Th  0.1250  0.8750  0.7500  8 S 2.91-2.95
Th  0.7500  0.8750  0.6250  8 S 2.91-2.95
Th  0.6250  0.2500  0.3750  8 S 2.91-2.95
Th  0.8750  0.1250  0.2500  8 S 2.91-2.95
Th  0.2500  0.1250  0.3750  8 S 2.91-2.95
Th  0.1250  0.2500  0.8750  8 S 2.91-2.95
Th  0.2500  0.6250  0.8750  8 S 2.91-2.95
Th  0.3750  0.7500  0.6250  8 S 2.91-2.95
Th  0.8750  0.7500  0.1250  8 S 2.91-2.95
Th  0.3750  0.6250  0.2500  8 S 2.91-2.95

***

No. 3
Material: Tb2Ga3Ni4Rh
Method: DFT, PBE
State: relaxed

VASP energy in eV per cell: -54.26
DOS at the Fermi energy in states/eV/cell: 6.94
ΔE_f in eV per atom: -0.54

Cell: 3.8470 3.8470 10.9454 Å, 90.00 90.00 90.00°
Closest atoms and distances in Å follow each position.
Atoms (fractional coordinates):
Ni  0.5000  0.0000  0.6507  3 Ga 2.39-2.53, 2 Rh 2.53
Ni  0.5000  0.5000  0.0000  4 Ga 2.40
Ni  0.0000  0.0000  0.0000  4 Ga 2.40
Ni  0.0000  0.5000  0.3493  3 Ga 2.39-2.53, 2 Rh 2.53
Rh  0.5000  0.5000  0.5000  4 Ni 2.53, 4 Ga 2.72
Tb  0.5000  0.0000  0.2602  4 Ni 2.89, 4 Ga 3.07
Tb  0.0000  0.5000  0.7398  4 Ni 2.89, 4 Ga 3.07
Ga  0.5000  0.0000  0.8692  5 Ni 2.39-2.40
Ga  0.0000  0.0000  0.5000  4 Ni 2.53, 4 Rh 2.72
Ga  0.0000  0.5000  0.1308  5 Ni 2.39-2.40

***

No. 4
Material: ZrTiAs2
Method: DFT, PBE
State: relaxed

VASP energy in eV per cell: -54.39
Polymorph energy (0 for the lowest one) in kJ/mol of formula units: 234
DOS at the Fermi energy in states/eV/cell: 7.24
ΔE_f in eV per atom: -0.36

Cell: 5.9105 5.9105 7.2483 Å, 65.94 65.94 90.00°
Closest atoms and distances in Å follow each position.
Atoms (fractional coordinates):
Ti  0.2500  0.7500  0.5000  4 As 2.49
Ti  0.5000  0.5000  0.0000  4 As 2.49
As  0.6050  0.1250  0.2500  2 Ti 2.49, 2 Zr 2.63
As  0.1450  0.6250  0.2500  2 Ti 2.49, 2 Zr 2.63
As  0.3750  0.3950  0.7500  2 Ti 2.49, 2 Zr 2.63
As  0.8750  0.8550  0.7500  2 Ti 2.49, 2 Zr 2.63
Zr  0.0000  0.0000  0.0000  4 As 2.63
Zr  0.7500  0.2500  0.5000  4 As 2.63

***

No. 5
Material: NbIn2Au
Method: DFT, PBE
State: relaxed

VASP energy in eV per cell: -19.07
Polymorph energy (0 for the lowest one) in kJ/mol of formula units: 0
DOS at the Fermi energy in states/eV/cell: 1.45
ΔE_f in eV per atom: -0.06

Cell: 4.0690 4.4060 4.4060 Å, 90.00 90.00 90.00°
Closest atoms and distances in Å follow each position.
Atoms (fractional coordinates):
Nb  0.5000  0.5000  0.5000  8 In 3.00, 4 Au 3.12
Au  0.5000  0.0000  0.0000  8 In 3.00, 4 Nb 3.12
In  0.0000  0.0000  0.5000  4 Nb 3.00, 4 Au 3.00, 4 In 3.12
In  0.0000  0.5000  0.0000  4 Nb 3.00, 4 Au 3.00, 4 In 3.12

***

No. 6
Material: Ba2TbPbO5
Method: DFT, PBE
State: relaxed

VASP energy in eV per cell: -116.06
ΔE_f (raw) in eV per atom: -2.34
DOS at the Fermi energy in states/eV/cell: 3.01

Cell: 3.6580 8.0204 11.5425 Å, 90.00 90.00 103.18°
Closest atoms and distances in Å follow each position.
Atoms (fractional coordinates):
O  0.2942  0.5883  0.3761  2 Tb 2.36
O  0.7058  0.4117  0.8761  2 Tb 2.36
O  0.4997  0.9995  0.7877  1 Pb 2.19
O  0.2802  0.5605  0.6350  2 Tb 2.38, 1 Ba 2.62
O  0.5003  0.0005  0.2877  1 Pb 2.19
O  0.9269  0.8538  0.5451  2 Pb 2.21, 1 Tb 2.40
O  0.0731  0.1462  0.0451  2 Pb 2.21, 1 Tb 2.40
O  0.6323  0.2646  0.5076  1 Tb 2.25, 1 Pb 2.27
O  0.3677  0.7354  0.0076  1 Tb 2.25, 1 Pb 2.27
O  0.7198  0.4395  0.1350  2 Tb 2.38, 1 Ba 2.62
Tb  0.2235  0.4471  0.0038  6 O 2.25-2.40
Tb  0.7765  0.5529  0.5038  6 O 2.25-2.40
Ba  0.8772  0.7543  0.2131  5 O 2.62-2.93
Ba  0.1228  0.2457  0.7131  5 O 2.62-2.93
Ba  0.8650  0.7301  0.7787  6 O 2.73-2.86
Ba  0.1350  0.2699  0.2787  6 O 2.73-2.86
Pb  0.5114  0.0228  0.9770  4 O 2.19-2.27
Pb  0.4886  0.9772  0.4770  4 O 2.19-2.27

***

No. 7
Material: Sc4Ge2H
Method: DFT, PBE
State: relaxed

VASP energy in eV per cell: -41.72
Polymorph energy (0 for the lowest one) in kJ/mol of formula units: 101
DOS at the Fermi energy in states/eV/cell: 4.55

Cell: 3.6119 5.3021 7.0700 Å, 101.53 104.80 90.00°
Closest atoms and distances in Å follow each position.
Atoms (fractional coordinates):
Sc  0.1362  0.8141  0.2725  1 H 2.28
Sc  0.5703  0.2862  0.1406  2 H 2.43
Sc  0.8638  0.1859  0.7275  1 H 2.28
Sc  0.4297  0.7138  0.8594  2 H 2.43
Ge  0.7714  0.6710  0.5428  2 Ge 2.54, 5 Sc 2.76-2.80
Ge  0.2286  0.3290  0.4572  2 Ge 2.54, 5 Sc 2.76-2.80
H  0.0000  0.0000  0.0000  6 Sc 2.28-2.43

***

No. 8
Material: AcHgBiPb
Method: DFT, PBE
State: relaxed

VASP energy in eV per cell: -13.90
Polymorph energy (0 for the lowest one) in kJ/mol of formula units: 0
DOS at the Fermi energy in states/eV/cell: 2.50
ΔE_f in eV per atom: -0.47

Cell: 4.7499 5.2768 5.0729 Å, 90.00 90.00 90.00°
Closest atoms and distances in Å follow each position.
Atoms (fractional coordinates):
Pb  0.0000  0.0000  0.0000  4 Bi 3.47, 4 Hg 3.55, 4 Ac 3.66
Bi  0.5000  0.0000  0.5000  4 Pb 3.47, 4 Ac 3.55, 4 Hg 3.66
Ac  0.0000  0.5000  0.5000  4 Hg 3.47, 4 Bi 3.55, 4 Pb 3.66
Hg  0.5000  0.5000  0.0000  4 Ac 3.47, 4 Pb 3.55, 4 Bi 3.66

***

No. 9
Material: Tb3TmRh
Method: DFT, PBE
State: relaxed

VASP energy in eV per cell: -54.26
Polymorph energy (0 for the lowest one) in kJ/mol of formula units: 0
DOS at the Fermi energy in states/eV/cell: 12.24
ΔE_f in eV per atom: -0.28

Cell: 6.1293 6.5032 7.5653 Å, 90.01 90.00 90.00°
Closest atoms and distances in Å follow each position.
Atoms (fractional coordinates):
Tb  0.9250  0.4874  0.9519  2 Rh 2.72-2.73
Tb  0.9249  0.4874  0.4496  2 Rh 2.72-2.73
Tb  0.9196  0.0266  0.7007  1 Rh 2.79
Tb  0.4195  0.3262  0.2008  1 Rh 2.79
Tb  0.4249  0.8653  0.9496  2 Rh 2.72-2.73
Tb  0.4249  0.8653  0.4519  2 Rh 2.72-2.73
Tm  0.4328  0.3302  0.7008  1 Rh 2.73
Tm  0.9328  0.0226  0.2007  1 Rh 2.73
Rh  0.6759  0.6805  0.2008  5 Tb 2.72-2.79, 1 Tm 2.73
Rh  0.1759  0.6723  0.7007  5 Tb 2.72-2.79, 1 Tm 2.73

***

No. 10
Material: AcPmNd
Method: DFT, PBE
State: relaxed

VASP energy in eV per cell: -13.53
Polymorph energy (0 for the lowest one) in kJ/mol of formula units: 0
DOS at the Fermi energy in states/eV/cell: 5.14
ΔE_f in eV per atom: 0.03

Cell: 3.8023 3.8023 8.3525 Å, 103.16 103.16 90.00°
Closest atoms and distances in Å follow each position.
Atoms (fractional coordinates):
Ac  0.9996  0.9996  0.9992  4 Ac 3.80, 4 Pm 3.81, 4 Nd 3.82
Nd  0.6716  0.6716  0.3432  4 Pm 3.66, 4 Nd 3.80, 4 Ac 3.82
Pm  0.3288  0.3288  0.6576  4 Nd 3.66, 4 Pm 3.80, 4 Ac 3.81